Compound: Sb2TePtCl
Source: Alexandria
Functional: GGA-PBE
Structure: relaxed

formation energy from raw total energies: 1.59 eV/f.u.
N(E_F): 8.59 states/eV/cell
calculated total energy: -3.537 eV per atom
V: 152 Å³/f.u.
total magnetization: 0.00 Bohr magnetons per cell

The structure in CIF format:
```
data_Sb2TePtCl
_cell_length_a 5.318
_cell_length_b 5.318
_cell_length_c 5.362
_cell_angle_alpha 90.00
_cell_angle_beta 90.00
_cell_angle_gamma 90.00
_space_group_name_H-M_alt 'P 4/m m m'
_space_group_IT_number 123
_space_group_name_Hall '-P 4 2'
loop_
_atom_site_label
_atom_site_type_symbol
_atom_site_fract_x
_atom_site_fract_y
_atom_site_fract_z
Sb1 Sb 0.000 0.500 0.000
Te1 Te 0.000 0.000 0.500
Pt1 Pt 0.000 0.000 0.000
Cl1 Cl 0.500 0.500 0.500
```